NdY5Ho after structural relaxation, computed with PBE.

## Properties
The total magnetization is 0.00 Bohr magnetons per cell. As for the crystal system: monoclinic. For the formation energy, the calculation gives 200 meV per atom. Its symmetry is C2/c, No. 15. As for the density of states at the Fermi level: 9.50 states/eV/f.u. The final energy comes out at -5.7518 eV/atom.

Unit cell a=6.312 b=6.631 c=11.826 alpha=93.63 beta=74.52 gamma=103.74
Fractional positions:
Y 0.821 0.498 0.410
Y 0.319 0.861 0.910
Ho 0.333 0.250 0.335
Y 0.771 0.639 0.910
Y 0.646 0.250 0.708
Ho 0.667 0.750 0.665
Nd 0.920 0.750 0.161
Y 0.354 0.750 0.292
Nd 0.080 0.250 0.839
Y 0.229 0.361 0.090
Y 0.179 0.502 0.590
Y 0.681 0.139 0.090
Y 0.232 0.998 0.590
Y 0.768 0.002 0.410

---

Nd5Y12Ho2 after structural relaxation, computed with PBE.

## Properties
The total magnetization is 0.00 Bohr magnetons per cell. As for the crystal system: triclinic. For the formation energy, the calculation gives 73 meV per atom. Its symmetry is P-1, No. 2. As for the density of states at the Fermi level: 28.15 states/eV/f.u. The final energy comes out at -5.7466 eV/atom.

Unit cell a=9.095 b=11.794 c=12.390 alpha=148.34 beta=70.50 gamma=114.62
Fractional positions:
Nd 0.331 0.786 0.396
Y 0.610 0.613 0.383
Nd 0.000 0.000 0.500
Y 0.697 0.672 0.134
Nd 0.753 0.318 0.335
Y 0.540 0.135 0.846
Ho 0.369 0.139 0.177
Y 0.002 0.172 0.366
Ho 0.631 0.861 0.823
Y 0.925 0.382 0.061
Y 0.844 0.738 0.874
Y 0.075 0.618 0.939
Y 0.998 0.828 0.634
Nd 0.669 0.214 0.604
Nd 0.247 0.682 0.665
Y 0.303 0.328 0.866
Y 0.156 0.262 0.126
Y 0.390 0.387 0.617
Y 0.460 0.865 0.154

---

NdY4Ho3 after structural relaxation, computed with PBE.

## Properties
The total magnetization is 0.00 Bohr magnetons per cell. As for the crystal system: orthorhombic. For the formation energy, the calculation gives 6 meV per atom. Its symmetry is Pmn2_1, No. 31. As for the density of states at the Fermi level: 13.86 states/eV/f.u. The final energy comes out at -5.5386 eV/atom.

Unit cell a=6.305 b=7.302 c=11.319 alpha=90.00 beta=90.00 gamma=90.00
Fractional positions:
Y 0.647 0.126 0.000
Y 0.145 0.874 0.000
Y 0.483 0.874 0.752
Y 0.483 0.874 0.248
Ho 0.649 0.625 0.000
Ho 0.480 0.375 0.250
Ho 0.980 0.625 0.750
Ho 0.980 0.625 0.250
Y 0.983 0.126 0.252
Nd 0.649 0.624 0.500
Y 0.645 0.126 0.500
Nd 0.149 0.376 0.000
Ho 0.149 0.375 0.500
Ho 0.480 0.375 0.750
Y 0.983 0.126 0.748
Y 0.147 0.874 0.500

---

Nd12Y7Ho after structural relaxation, computed with PBE.

## Properties
The total magnetization is 0.00 Bohr magnetons per cell. As for the crystal system: trigonal. For the formation energy, the calculation gives 275 meV per atom. Its symmetry is R-3, No. 148. As for the density of states at the Fermi level: 28.37 states/eV/f.u. The final energy comes out at -5.0773 eV/atom.

Unit cell a=8.890 b=8.890 c=8.890 alpha=93.81 beta=93.81 gamma=93.81
Fractional positions:
Nd 0.825 0.254 0.688
Nd 0.488 0.149 0.415
Y 0.027 0.088 0.349
Nd 0.746 0.312 0.175
Y 0.500 0.500 0.500
Nd 0.851 0.585 0.512
Nd 0.312 0.175 0.746
Nd 0.585 0.512 0.851
Nd 0.254 0.688 0.825
Y 0.973 0.912 0.651
Nd 0.415 0.488 0.149
Y 0.912 0.651 0.973
Nd 0.149 0.415 0.488
Y 0.349 0.027 0.088
Ho 0.000 0.000 0.000
Y 0.088 0.349 0.027
Nd 0.175 0.746 0.312
Nd 0.512 0.851 0.585
Nd 0.688 0.825 0.254
Y 0.651 0.973 0.912

---

Nd3Y8Ho2 after structural relaxation, computed with PBE.

## Properties
The total magnetization is 0.00 Bohr magnetons per cell. As for the crystal system: monoclinic. For the formation energy, the calculation gives 138 meV per atom. Its symmetry is C2/m, No. 12. As for the density of states at the Fermi level: 22.93 states/eV/f.u. The final energy comes out at -5.6445 eV/atom.

Unit cell a=5.649 b=6.952 c=12.005 alpha=106.83 beta=103.54 gamma=90.00
Fractional positions:
Nd 0.000 0.726 0.000
Nd 0.500 0.000 0.000
Nd 0.000 0.274 0.000
Y 0.690 0.189 0.379
Y 0.310 0.811 0.621
Y 0.155 0.892 0.308
Ho 0.723 0.722 0.444
Y 0.576 0.575 0.150
Y 0.845 0.584 0.692
Y 0.155 0.416 0.308
Ho 0.277 0.278 0.556
Y 0.424 0.425 0.850
Y 0.845 0.108 0.692

---

Nd6YHo12 after structural relaxation, computed with PBE.

## Properties
The total magnetization is 0.00 Bohr magnetons per cell. As for the crystal system: trigonal. For the formation energy, the calculation gives 216 meV per atom. Its symmetry is R-3m, No. 166. As for the density of states at the Fermi level: 30.79 states/eV/f.u. The final energy comes out at -4.5210 eV/atom.

Unit cell a=8.737 b=8.737 c=8.737 alpha=98.69 beta=98.69 gamma=98.69
Fractional positions:
Ho 0.757 0.500 0.243
Y 0.000 0.000 0.000
Ho 0.500 0.757 0.243
Nd 0.097 0.097 0.656
Ho 0.355 0.082 0.355
Ho 0.645 0.645 0.918
Nd 0.344 0.903 0.903
Nd 0.903 0.344 0.903
Ho 0.243 0.500 0.757
Ho 0.500 0.243 0.757
Ho 0.243 0.757 0.500
Ho 0.355 0.355 0.082
Nd 0.097 0.656 0.097
Ho 0.645 0.918 0.645
Ho 0.082 0.355 0.355
Nd 0.656 0.097 0.097
Ho 0.918 0.645 0.645
Ho 0.757 0.243 0.500
Nd 0.903 0.903 0.344

---

Nd3Y4Ho after structural relaxation, computed with PBE.

## Properties
The total magnetization is 0.00 Bohr magnetons per cell. As for the crystal system: orthorhombic. For the formation energy, the calculation gives 17 meV per atom. Its symmetry is Pmn2_1, No. 31. As for the density of states at the Fermi level: 14.80 states/eV/f.u. The final energy comes out at -5.5756 eV/atom.

Unit cell a=6.347 b=7.358 c=11.520 alpha=90.00 beta=90.00 gamma=90.00
Fractional positions:
Nd 0.650 0.626 0.000
Nd 0.980 0.625 0.250
Y 0.483 0.877 0.252
Nd 0.480 0.375 0.250
Ho 0.648 0.628 0.500
Y 0.146 0.877 0.500
Y 0.147 0.876 0.000
Nd 0.480 0.375 0.750
Y 0.647 0.124 0.500
Y 0.646 0.123 0.000
Y 0.983 0.123 0.752
Y 0.483 0.877 0.748
Ho 0.148 0.372 0.000
Nd 0.980 0.625 0.750
Y 0.983 0.123 0.248
Nd 0.150 0.374 0.500

---

Nd8Y2Ho after structural relaxation, computed with PBE.

## Properties
The total magnetization is 0.00 Bohr magnetons per cell. As for the crystal system: monoclinic. For the formation energy, the calculation gives 137 meV per atom. Its symmetry is C2/m, No. 12. As for the density of states at the Fermi level: 14.81 states/eV/f.u. The final energy comes out at -4.9221 eV/atom.

Unit cell a=6.013 b=9.199 c=9.528 alpha=61.13 beta=74.37 gamma=56.08
Fractional positions:
Nd 0.818 0.335 0.764
Nd 0.182 0.665 0.236
Nd 0.704 0.577 0.000
Nd 0.182 0.902 0.764
Nd 0.500 0.205 0.590
Ho 0.500 0.000 0.000
Nd 0.818 0.098 0.236
Y 0.000 0.690 0.620
Y 0.000 0.310 0.380
Nd 0.296 0.423 0.000
Nd 0.500 0.795 0.410

---

Nd5Y3Ho after structural relaxation, computed with PBE.

## Properties
The total magnetization is 0.00 Bohr magnetons per cell. As for the crystal system: monoclinic. For the formation energy, the calculation gives 272 meV per atom. Its symmetry is C2/c, No. 15. As for the density of states at the Fermi level: 12.78 states/eV/f.u. The final energy comes out at -5.0405 eV/atom.

Unit cell a=6.304 b=11.095 c=11.768 alpha=125.02 beta=90.00 gamma=106.50
Fractional positions:
Y 0.049 0.649 0.176
Nd 0.464 0.278 0.618
Nd 0.410 0.000 0.750
Nd 0.996 0.359 0.525
Y 0.400 0.351 0.324
Nd 0.186 0.722 0.882
Nd 0.363 0.359 0.025
Ho 0.101 0.000 0.250
Nd 0.814 0.278 0.118
Nd 0.536 0.722 0.382
Nd 0.590 0.000 0.250
Y 0.951 0.351 0.824
Ho 0.899 0.000 0.750
Y 0.000 0.000 0.500
Y 0.600 0.649 0.676
Nd 0.004 0.641 0.475
Nd 0.637 0.641 0.975
Y 0.000 0.000 0.000

---

Nd6YHo8 after structural relaxation, computed with PBE.

## Properties
The total magnetization is 0.00 Bohr magnetons per cell. As for the crystal system: trigonal. For the formation energy, the calculation gives 167 meV per atom. Its symmetry is P-3, No. 147. As for the density of states at the Fermi level: 18.98 states/eV/f.u. The final energy comes out at -4.6121 eV/atom.

Unit cell a=6.237 b=9.655 c=9.655 alpha=120.00 beta=90.00 gamma=90.00
Fractional positions:
Nd 0.690 0.912 0.550
Ho 0.815 0.236 0.962
Ho 0.185 0.274 0.236
Ho 0.185 0.764 0.038
Nd 0.310 0.362 0.912
Nd 0.310 0.550 0.638
Ho 0.815 0.038 0.274
Ho 0.168 0.667 0.333
Ho 0.815 0.726 0.764
Y 0.500 0.000 0.000
Ho 0.185 0.962 0.726
Ho 0.832 0.333 0.667
Nd 0.690 0.450 0.362
Nd 0.310 0.088 0.450
Nd 0.690 0.638 0.088

---

total magnetization of number 10 (Nd6YHo8)?
0.00 Bohr magnetons per cell